Record 1
Cs3AsPd4, relaxed, DFT PBE; E = -3.59 eV/atom; formation enthalpy at 0 K = -0.7 eV per formula unit; SG = Pnma (62); total magnetic moment = 0.00 Bohr magnetons per cell
1.0
6.9468 0.0000 0.0000
0.0000 11.8825 0.0000
0.0000 0.0000 12.8070
Pd As Cs
16 4 12
Direct
0.6964 0.2500 0.5069 Pd
0.3036 0.7500 0.4931 Pd
0.0937 0.5665 0.4368 Pd
0.4063 0.5665 0.9368 Pd
0.1964 0.7500 0.9931 Pd
0.0937 0.9335 0.4368 Pd
0.8036 0.2500 0.0069 Pd
0.2527 0.7500 0.6973 Pd
0.5937 0.0665 0.0632 Pd
0.7527 0.2500 0.8027 Pd
0.7473 0.2500 0.3027 Pd
0.9063 0.0665 0.5632 Pd
0.2473 0.7500 0.1973 Pd
0.4063 0.9335 0.9368 Pd
0.9063 0.4335 0.5632 Pd
0.5937 0.4335 0.0632 Pd
0.9381 0.2500 0.6481 As
0.0619 0.7500 0.3519 As
0.4381 0.7500 0.8519 As
0.5619 0.2500 0.1481 As
0.9021 0.9662 0.8400 Cs
0.0979 0.0338 0.1600 Cs
0.4021 0.0338 0.6600 Cs
0.7188 0.7500 0.0930 Cs
0.9021 0.5338 0.8400 Cs
0.0979 0.4662 0.1600 Cs
0.2812 0.2500 0.9070 Cs
0.5979 0.9662 0.3400 Cs
0.4021 0.4662 0.6600 Cs
0.7812 0.7500 0.5930 Cs
0.5979 0.5338 0.3400 Cs
0.2188 0.2500 0.4070 Cs

Record 2
LiTcP, relaxed, DFT PBE; E = -6.03 eV/atom; formation enthalpy at 0 K = -0.4 eV per formula unit; SG = R3m (160); total magnetic moment = 0.00 Bohr magnetons per cell
1.0
3.0175 0.0000 0.0000
-1.5087 2.6132 0.0000
0.0000 0.0000 17.5579
Li Tc P
3 3 3
Direct
0.3333 0.6667 0.6101 Li
0.6667 0.3333 0.2768 Li
0.0000 0.0000 0.9435 Li
0.3333 0.6667 0.1434 Tc
0.6667 0.3333 0.8100 Tc
0.0000 0.0000 0.4767 Tc
0.3333 0.6667 0.3900 P
0.6667 0.3333 0.0567 P
0.0000 0.0000 0.7234 P

Record 3
BeCoRu2, relaxed, DFT PBE; E = -7.25 eV/atom; formation enthalpy at 0 K = 0.4 eV per formula unit; SG = Immm (71); total magnetic moment = 1.15 Bohr magnetons per cell
1.0
-4.4662 -1.0968 1.2459
-1.5577 -4.2852 -1.3831
3.2410 2.3710 2.5645
Ru Be Co
2 1 1
Direct
0.9674 0.9674 0.0000 Ru
0.5326 0.5326 0.0000 Ru
0.7500 0.2500 0.5000 Be
0.2500 0.7500 0.5000 Co

Record 4
TiV3Mo, relaxed, DFT PBE; E = -7.92 eV/atom; formation enthalpy at 0 K = 6.5 eV per formula unit; SG = Pm-3m (221); total magnetic moment = 0.00 Bohr magnetons per cell
1.0
4.3229 0.0000 0.0000
0.0000 4.3229 0.0000
0.0000 0.0000 4.3229
V Ti Mo
3 1 1
Direct
0.0000 0.5000 0.0000 V
0.5000 0.0000 0.0000 V
0.0000 0.0000 0.5000 V
0.0000 0.0000 0.0000 Ti
0.5000 0.5000 0.5000 Mo